Computed, not measured: Rb3NaIr after structural relaxation at the PBE level of DFT.

Output
Energy above the lowest structure with this stoichiometry (meV per atom): 0
Formation energy (eV/atom): 0.658

a = 6.495 Å, b = 6.495 Å, c = 6.495 Å
α = 90.00°, β = 90.00°, γ = 90.00°
Fractional positions:
1 Rb 0.500 0.000 0.000
2 Rb 0.000 0.500 0.000
3 Rb 0.000 0.000 0.500
4 Ir 0.000 0.000 0.000
5 Na 0.500 0.500 0.500

=====

Computed, not measured: RbNaIr2 after structural relaxation at the PBE level of DFT.

Output
Energy above the lowest structure with this stoichiometry (meV per atom): 0
Formation energy (eV/atom): 0.874

a = 4.720 Å, b = 4.720 Å, c = 10.889 Å
α = 77.48°, β = 77.48°, γ = 90.00°
Fractional positions:
1 Ir 0.375 0.671 0.750
2 Ir 0.329 0.125 0.250
3 Ir 0.421 0.625 0.250
4 Rb 0.750 0.250 0.500
5 Rb 0.000 0.000 0.000
6 Na 0.250 0.750 0.500
7 Ir 0.875 0.579 0.750
8 Na 0.500 0.500 0.000

=====

Computed, not measured: RbNaIr2 after structural relaxation at the PBE level of DFT.

Output
Energy above the lowest structure with this stoichiometry (meV per atom): 790
Formation energy (eV/atom): 1.664

a = 4.939 Å, b = 4.939 Å, c = 4.939 Å
α = 60.00°, β = 60.00°, γ = 60.00°
Each line ends with the local moment (μB).
Fractional positions:
1 Rb 0.500 0.500 0.500  0.01
2 Ir 0.750 0.750 0.750  0.32
3 Ir 0.250 0.250 0.250  0.32
4 Na 0.000 0.000 0.000  0.00

=====

Computed, not measured: RbNa3Ir after structural relaxation at the PBE level of DFT.

Output
Energy above the lowest structure with this stoichiometry (meV per atom): 0
Formation energy (eV/atom): 0.513

a = 5.628 Å, b = 5.628 Å, c = 5.628 Å
α = 90.00°, β = 90.00°, γ = 90.00°
Fractional positions:
1 Ir 0.000 0.000 0.000
2 Na 0.500 0.000 0.000
3 Rb 0.500 0.500 0.500
4 Na 0.000 0.000 0.500
5 Na 0.000 0.500 0.000

=====

Computed, not measured: Rb2NaIrSe after structural relaxation at the PBE level of DFT.

Output
Formation energy without anion corrections (eV per formula unit): 0.01

a = 6.878 Å, b = 4.566 Å, c = 6.878 Å
α = 90.00°, β = 90.00°, γ = 90.00°
Fractional positions:
1 Ir 0.000 0.000 0.000
2 Rb 0.000 0.000 0.500
3 Na 0.500 0.500 0.500
4 Rb 0.500 0.000 0.000
5 Se 0.000 0.500 0.000

=====

Computed, not measured: RbNaTc2Ir after structural relaxation at the PBE level of DFT.

Output
Formation energy (eV/atom): 2.898

a = 4.696 Å, b = 4.615 Å, c = 4.696 Å
α = 90.00°, β = 90.00°, γ = 90.00°
Each line ends with the local moment (μB).
Fractional positions:
1 Ir 0.500 0.500 0.500  0.18
2 Tc 0.000 0.000 0.500  0.26
3 Rb 0.000 0.000 0.000  0.00
4 Na 0.000 0.500 0.000  0.00
5 Tc 0.500 0.000 0.000  0.36

=====

Computed, not measured: Rb2NaIrW after structural relaxation at the PBE level of DFT.

Output
Formation energy (eV/atom): 1.225

a = 6.813 Å, b = 4.723 Å, c = 6.813 Å
α = 90.00°, β = 90.00°, γ = 90.00°
Each line ends with the local moment (μB).
Fractional positions:
1 W 0.000 0.000 0.000  1.65
2 Na 0.500 0.500 0.500  -0.01
3 Rb 0.000 0.000 0.500  0.02
4 Ir 0.000 0.500 0.000  0.06
5 Rb 0.500 0.000 0.000  0.02

=====

Computed, not measured: Na3ReIr after structural relaxation at the PBE level of DFT.

Output
Energy above the lowest structure with this stoichiometry (meV per atom): 401
Formation energy (eV/atom): 2.286

a = 5.484 Å, b = 5.484 Å, c = 5.484 Å
α = 90.00°, β = 90.00°, γ = 90.00°
Each line ends with the local moment (μB).
Fractional positions:
1 Re 0.000 0.000 0.000  3.07
2 Ir 0.500 0.500 0.500  1.62
3 Na 0.500 0.000 0.000  0.00
4 Na 0.000 0.000 0.500  -0.01
5 Na 0.000 0.500 0.000  -0.01

=====

Computed, not measured: Na4Re2Ir after structural relaxation at the PBE level of DFT.

Output
Formation energy (eV/atom): 1.687

a = 5.484 Å, b = 5.484 Å, c = 8.143 Å
α = 70.32°, β = 70.32°, γ = 90.00°
Each line ends with the local moment (μB).
Fractional positions:
1 Re 0.574 0.574 0.852  0.60
2 Na 0.807 0.807 0.387  0.00
3 Na 0.000 0.500 0.000  0.00
4 Ir 0.000 0.000 0.000  -0.20
5 Na 0.500 0.000 0.000  0.00
6 Na 0.193 0.193 0.613  0.00
7 Re 0.426 0.426 0.148  0.60

=====

Computed, not measured: NaReIr2 after structural relaxation at the PBE level of DFT.

Output
Energy above the lowest structure with this stoichiometry (meV per atom): 0
Formation energy (eV/atom): 0.554

a = 4.409 Å, b = 4.409 Å, c = 4.409 Å
α = 60.00°, β = 60.00°, γ = 60.00°
Fractional positions:
1 Na 0.000 0.000 0.000
2 Ir 0.750 0.750 0.750
3 Re 0.500 0.500 0.500
4 Ir 0.250 0.250 0.250

=====

Computed, not measured: Na2ReIr after structural relaxation at the PBE level of DFT.

Output
Energy above the lowest structure with this stoichiometry (meV per atom): 232
Formation energy (eV/atom): 1.588

a = 4.653 Å, b = 4.653 Å, c = 4.653 Å
α = 60.00°, β = 60.00°, γ = 60.00°
Each line ends with the local moment (μB).
Fractional positions:
1 Na 0.750 0.750 0.750  0.00
2 Re 0.000 0.000 0.000  2.61
3 Ir 0.500 0.500 0.500  0.44
4 Na 0.250 0.250 0.250  0.00

=====

Computed, not measured: Na3ReIr after structural relaxation at the PBE level of DFT.

Output
Energy above the lowest structure with this stoichiometry (meV per atom): 0
Formation energy (eV/atom): 1.885

a = 5.369 Å, b = 5.369 Å, c = 5.369 Å
α = 90.00°, β = 90.00°, γ = 90.00°
Each line ends with the local moment (μB).
Fractional positions:
1 Na 0.500 0.000 0.000  -0.02
2 Na 0.000 0.000 0.500  -0.01
3 Ir 0.000 0.000 0.000  0.71
4 Re 0.500 0.500 0.500  3.75
5 Na 0.000 0.500 0.000  -0.01